(1)
First-principles (GGA-PBE) data for a geometry-optimized NaMg2Zn2 structure, as listed in the Alexandria database.

Output
**Energy relative to the elements**: -0.018 eV per atom

Lattice parameters (Å, degrees): 8.3220 8.3220 3.0000 90.00 90.00 90.00
Element x y z (fractional)
Na 0.0000 0.0000 0.0000
Na 0.5000 0.5000 0.0000
Zn 0.1669 0.6669 0.5000
Zn 0.6669 0.8331 0.5000
Zn 0.8331 0.3331 0.5000
Zn 0.3331 0.1669 0.5000
Mg 0.3701 0.8701 0.0000
Mg 0.8701 0.6299 0.0000
Mg 0.6299 0.1299 0.0000
Mg 0.1299 0.3701 0.0000


(2)
First-principles (GGA-PBE) data for a geometry-optimized ThCo6Ge12 structure, as listed in the Alexandria database.

Output
**Energy relative to the elements**: -0.098 eV per atom

Lattice parameters (Å, degrees): 7.0279 7.0279 7.0279 105.93 105.93 105.93
Element x y z (fractional)
Th 0.0000 0.0000 0.0000
Co 0.7042 0.2838 0.2838
Co 0.2838 0.2838 0.7042
Co 0.2838 0.7042 0.2838
Co 0.7162 0.7162 0.2958
Co 0.2958 0.7162 0.7162
Co 0.7162 0.2958 0.7162
Ge 0.8815 0.1185 0.5000
Ge 0.8577 0.5984 0.5984
Ge 0.5984 0.5984 0.8577
Ge 0.4016 0.1423 0.4016
Ge 0.4016 0.4016 0.1423
Ge 0.1423 0.4016 0.4016
Ge 0.1185 0.5000 0.8815
Ge 0.5000 0.8815 0.1185
Ge 0.1185 0.8815 0.5000
Ge 0.8815 0.5000 0.1185
Ge 0.5000 0.1185 0.8815
Ge 0.5984 0.8577 0.5984


(3)
First-principles (GGA-PBE) data for a geometry-optimized DySi2OsRh structure, as listed in the Alexandria database.

Output
**ΔE_f (raw)**: -946 meV per atom

Lattice parameters (Å, degrees): 4.1346 4.1346 5.6870 111.32 111.32 90.00
Element x y z (fractional)
Dy 0.0000 0.0000 0.0000
Si 0.6263 0.6263 0.2526
Si 0.3737 0.3737 0.7474
Os 0.7500 0.2500 0.5000
Rh 0.2500 0.7500 0.5000


(4)
First-principles (GGA-PBE) data for a geometry-optimized P2AuCl structure, as listed in the Alexandria database.

Output
**ΔE_f (raw)**: 119 meV per atom

Lattice parameters (Å, degrees): 3.9625 3.9625 7.1036 103.12 103.12 59.13
Element x y z (fractional)
Au 0.7500 0.7500 0.7500
Cl 0.2500 0.2500 0.2500
P 0.1242 0.1242 0.9043
P 0.3758 0.3758 0.5957


(5)
First-principles (GGA-PBE) data for a geometry-optimized Cr2GaSbC structure, as listed in the Alexandria database.

Output
**ΔE_f (raw)**: 718 meV per atom

Lattice parameters (Å, degrees): 3.9527 4.7213 3.9527 90.00 90.00 90.00
Element x y z (fractional)
Sb 0.0000 0.5000 0.0000
C 0.0000 0.0000 0.0000
Ga 0.5000 0.5000 0.5000
Cr 0.0000 0.0000 0.5000
Cr 0.5000 0.0000 0.0000


(6)
First-principles (GGA-PBE) data for a geometry-optimized BaSc2Cl structure, as listed in the Alexandria database.

Output
**ΔE_f (raw)**: -315 meV per atom

Lattice parameters (Å, degrees): 5.8321 5.8321 6.6759 75.53 75.53 34.36
Site moments in Bohr magnetons follow the coordinates.
Element x y z (fractional)
Ba 0.4686 0.4686 0.5363  0.02
Cl 0.7087 0.7087 0.8186  0.00
Sc 0.0316 0.0316 0.0281  0.15
Sc 0.2910 0.2910 0.1170  0.17


(7)
First-principles (GGA-PBE) data for a geometry-optimized HfGaAg structure, as listed in the Alexandria database.

Output
**Energy relative to the elements**: -0.217 eV per atom

Lattice parameters (Å, degrees): 3.9207 3.9152 7.7461 75.50 75.50 90.03
Element x y z (fractional)
Hf 0.3584 0.1550 0.6117
Hf 0.7148 0.5114 0.8941
Ga 0.9047 0.7014 0.5192
Ga 0.1684 0.9650 0.9867
Ag 0.0365 0.3333 0.2529
Ag 0.5365 0.8334 0.2529


(8)
First-principles (GGA-PBE) data for a geometry-optimized Ba2SrSi3Au12 structure, as listed in the Alexandria database.

Output
**ΔE_f (raw)**: -203 meV per atom

Lattice parameters (Å, degrees): 8.6908 8.6908 8.6908 61.49 61.49 61.49
Element x y z (fractional)
Ba 0.6004 0.6004 0.6004
Ba 0.3996 0.3996 0.3996
Sr 0.0000 0.0000 0.0000
Si 0.5000 0.0000 0.0000
Si 0.0000 0.5000 0.0000
Si 0.0000 0.0000 0.5000
Au 0.3143 0.3143 0.8708
Au 0.8605 0.8605 0.4288
Au 0.4288 0.8605 0.8605
Au 0.8708 0.3143 0.3143
Au 0.8605 0.4288 0.8605
Au 0.3143 0.8708 0.3143
Au 0.6857 0.6857 0.1292
Au 0.1395 0.1395 0.5712
Au 0.5712 0.1395 0.1395
Au 0.1292 0.6857 0.6857
Au 0.1395 0.5712 0.1395
Au 0.6857 0.1292 0.6857


(9)
First-principles (GGA-PBE) data for a geometry-optimized Dy3Zn2Ir7 structure, as listed in the Alexandria database.

Output
**Energy relative to the elements**: -0.656 eV per atom

Lattice parameters (Å, degrees): 5.4108 5.4108 8.9128 72.33 72.33 60.00
Element x y z (fractional)
Dy 0.0000 0.0000 0.0000
Dy 0.8591 0.8591 0.4227
Dy 0.1409 0.1409 0.5773
Zn 0.6647 0.6647 0.0058
Zn 0.3353 0.3353 0.9942
Ir 0.5000 0.5000 0.5000
Ir 0.9239 0.4130 0.2501
Ir 0.4130 0.9239 0.2501
Ir 0.4130 0.4130 0.2501
Ir 0.0761 0.5870 0.7499
Ir 0.5870 0.5870 0.7499
Ir 0.5870 0.0761 0.7499


(10)
First-principles (GGA-PBE) data for a geometry-optimized LiCa2Ga3Au12 structure, as listed in the Alexandria database.

Output
**Energy relative to the elements**: -0.161 eV per atom

Lattice parameters (Å, degrees): 8.1230 8.1230 8.1230 63.96 63.96 63.96
Element x y z (fractional)
Li 0.0000 0.0000 0.0000
Ca 0.6150 0.6150 0.6150
Ca 0.3850 0.3850 0.3850
Ga 0.5000 0.0000 0.0000
Ga 0.0000 0.5000 0.0000
Ga 0.0000 0.0000 0.5000
Au 0.3661 0.3661 0.8897
Au 0.8673 0.8673 0.3675
Au 0.3675 0.8673 0.8673
Au 0.8897 0.3661 0.3661
Au 0.8673 0.3675 0.8673
Au 0.3661 0.8897 0.3661
Au 0.6339 0.6339 0.1103
Au 0.1327 0.1327 0.6325
Au 0.6325 0.1327 0.1327
Au 0.1103 0.6339 0.6339
Au 0.1327 0.6325 0.1327
Au 0.6339 0.1103 0.6339


(11)
First-principles (GGA-PBE) data for a geometry-optimized CaBeBr2 structure, as listed in the Alexandria database.

Output
**ΔE_f (raw)**: -671 meV per atom

Lattice parameters (Å, degrees): 3.9461 3.9461 9.4281 90.00 90.00 122.95
Element x y z (fractional)
Be 0.5000 0.5000 0.7673
Ca 0.0000 0.0000 0.5206
Br 0.0000 0.0000 0.9042
Br 0.5000 0.5000 0.3079


(12)
First-principles (GGA-PBE) data for a geometry-optimized Li5Ca2Cd4 structure, as listed in the Alexandria database.

Output
**Energy relative to the elements**: -0.187 eV per atom

Lattice parameters (Å, degrees): 5.6483 5.6483 9.6391 99.05 99.05 117.60
Element x y z (fractional)
Li 0.5000 0.5000 0.0000
Li 0.5000 0.0000 0.0000
Li 0.0000 0.5000 0.0000
Li 0.7500 0.2500 0.5000
Li 0.2500 0.7500 0.5000
Ca 0.8641 0.8641 0.7283
Ca 0.1359 0.1359 0.2717
Cd 0.4687 0.7883 0.2570
Cd 0.5313 0.2117 0.7430
Cd 0.2117 0.5313 0.7430
Cd 0.7883 0.4687 0.2570


(13)
First-principles (GGA-PBE) data for a geometry-optimized TcC2Se structure, as listed in the Alexandria database.

Output
**ΔE_f (raw)**: 1188 meV per atom

Lattice parameters (Å, degrees): 4.8767 4.8767 5.8380 65.31 65.31 90.00
Element x y z (fractional)
C 0.6661 0.1250 0.2500
C 0.0839 0.6250 0.2500
C 0.3750 0.3339 0.7500
C 0.8750 0.9161 0.7500
Tc 0.0000 0.0000 0.0000
Tc 0.7500 0.2500 0.5000
Se 0.5000 0.5000 0.0000
Se 0.2500 0.7500 0.5000


(14)
First-principles (GGA-PBE) data for a geometry-optimized CsSmMnTe4 structure, as listed in the Alexandria database.

Output
**ΔE_f (raw)**: -812 meV per atom

Lattice parameters (Å, degrees): 7.8437 6.3576 10.8816 90.00 105.29 90.00
Site moments in Bohr magnetons follow the coordinates.
Element x y z (fractional)
Cs 0.7651 0.7500 0.9535  0.00
Cs 0.2349 0.2500 0.0465  0.00
Sm 0.7453 0.7500 0.4511  0.07
Sm 0.2547 0.2500 0.5489  0.07
Mn 0.2764 0.7500 0.3418  3.80
Mn 0.7236 0.2500 0.6582  3.80
Te 0.0078 0.5053 0.6978  0.00
Te 0.9922 0.0053 0.3022  0.00
Te 0.9922 0.4947 0.3022  0.00
Te 0.0078 0.9947 0.6978  0.00
Te 0.4686 0.7500 0.1821  -0.04
Te 0.5314 0.2500 0.8179  -0.04
Te 0.4253 0.7500 0.5872  -0.04
Te 0.5747 0.2500 0.4128  -0.04


(15)
First-principles (GGA-PBE) data for a geometry-optimized CsCd2P2 structure, as listed in the Alexandria database.

Output
**Energy relative to the elements**: -0.152 eV per atom

Lattice parameters (Å, degrees): 4.4380 4.4380 7.8940 73.67 73.67 90.00
Element x y z (fractional)
Cs 0.0000 0.0000 0.0000
P 0.3550 0.3550 0.2900
P 0.6450 0.6450 0.7100
Cd 0.7500 0.2500 0.5000
Cd 0.2500 0.7500 0.5000


(16)
First-principles (GGA-PBE) data for a geometry-optimized NaCuH3 structure, as listed in the Alexandria database.

Output
**DFT total energy**: -3.023 eV/atom

Lattice parameters (Å, degrees): 3.3149 3.3149 10.3853 90.00 90.00 120.00
Element x y z (fractional)
Na 0.0000 0.0000 0.0000
Na 0.0000 0.0000 0.5000
Cu 0.3333 0.6667 0.7500
Cu 0.6667 0.3333 0.2500
H 0.0000 0.0000 0.2500
H 0.0000 0.0000 0.7500
H 0.3333 0.6667 0.8982
H 0.3333 0.6667 0.6018
H 0.6667 0.3333 0.3982
H 0.6667 0.3333 0.1018


(17)
First-principles (GGA-PBE) data for a geometry-optimized LiVTe2 structure, as listed in the Alexandria database.

Output
**ΔE_f (raw)**: -389 meV per atom

Lattice parameters (Å, degrees): 6.3335 6.3335 7.6200 65.44 65.44 90.00
Site moments in Bohr magnetons follow the coordinates.
Element x y z (fractional)
V 0.0000 0.0000 0.0000  2.04
V 0.7500 0.2500 0.5000  2.04
Te 0.6488 0.1250 0.2500  -0.11
Te 0.1012 0.6250 0.2500  -0.11
Te 0.3750 0.3512 0.7500  -0.11
Te 0.8750 0.8988 0.7500  -0.11
Li 0.5000 0.5000 0.0000  0.00
Li 0.2500 0.7500 0.5000  0.00


(18)
First-principles (GGA-PBE) data for a geometry-optimized TaTiCl2 structure, as listed in the Alexandria database.

Output
**ΔE_f (raw)**: -462 meV per atom

Lattice parameters (Å, degrees): 8.7116 8.7116 8.7116 20.12 20.12 20.12
Element x y z (fractional)
Cl 0.9015 0.9015 0.9015
Cl 0.0985 0.0985 0.0985
Ti 0.5000 0.5000 0.5000
Ta 0.0000 0.0000 0.0000


(19)
First-principles (GGA-PBE) data for a geometry-optimized Tb8MgAl2 structure, as listed in the Alexandria database.

Output
**Energy relative to the elements**: -0.141 eV per atom

Lattice parameters (Å, degrees): 5.2652 8.4038 8.4942 117.74 108.06 90.00
Element x y z (fractional)
Tb 0.6025 0.4596 0.2050
Tb 0.3158 0.0460 0.6317
Tb 0.1442 0.2017 0.2884
Tb 0.0646 0.7219 0.1293
Tb 0.8558 0.7983 0.7116
Tb 0.6842 0.9540 0.3683
Tb 0.3975 0.5404 0.7950
Tb 0.9354 0.2781 0.8707
Mg 0.5000 0.0000 0.0000
Al 0.2273 0.6274 0.4547
Al 0.7727 0.3726 0.5453


(20)
First-principles (GGA-PBE) data for a geometry-optimized UAlS4 structure, as listed in the Alexandria database.

Output
**ΔE_f (raw)**: -1076 meV per atom

Lattice parameters (Å, degrees): 3.7621 7.5478 6.2710 113.99 90.00 104.43
Site moments in Bohr magnetons follow the coordinates.
Element x y z (fractional)
U 0.5000 0.0000 0.5000  1.17
Al 0.0000 0.0000 0.0000  0.00
S 0.3984 0.7968 0.0491  -0.04
S 0.1093 0.2186 0.4257  -0.04
S 0.6016 0.2032 0.9509  -0.04
S 0.8907 0.7814 0.5743  -0.04


Spin magnetization (computed, μB per cell): 0.00 0.00 0.00 0.00 0.00 0.61 0.00 0.00 0.00 0.00 0.00 0.00 0.00 8.44 0.00 0.00 4.00 0.00 0.00 1.00
Calculated volume (computed, A^3/atom): 20.8 15.6 16.7 23.1 14.8 30.9 18.5 26.6 17.6 22.9 30.8 23.6 14.0 37.4 28.5 9.9 30.9 17.1 28.3 26.1